<P>
Computed, not measured: an optimized crystal structure of LaTmAlZn at the PBE level of DFT.

```
data_LaTmAlZn
_cell_length_a 3.633
_cell_length_b 3.633
_cell_length_c 7.444
_cell_angle_alpha 90.00
_cell_angle_beta 90.00
_cell_angle_gamma 90.00
_space_group_name_H-M_alt 'P 4 m m'
_space_group_IT_number 99
_space_group_name_Hall 'P 4 -2'
loop_
_atom_site_label
_atom_site_fract_x
_atom_site_fract_y
_atom_site_fract_z
_atom_site_occupancy
La1 0.000 0.000 0.000 1
Tm1 0.000 0.000 0.494 1
Al1 0.500 0.500 0.724 1
Zn1 0.500 0.500 0.287 1
```

The volume comes out at 24.56 Å³/atom.

=====

<Q>
Computed, not measured: an optimized crystal structure of LaTmAlZn at the PBE level of DFT.

```
data_LaTmAlZn
_cell_length_a 7.354
_cell_length_b 7.354
_cell_length_c 7.354
_cell_angle_alpha 90.00
_cell_angle_beta 90.00
_cell_angle_gamma 90.00
_space_group_name_H-M_alt 'F -4 3 m'
_space_group_IT_number 216
_space_group_name_Hall 'F -4 2 3'
loop_
_atom_site_label
_atom_site_fract_x
_atom_site_fract_y
_atom_site_fract_z
_atom_site_occupancy
La1 0.000 0.000 0.000 1
Tm1 0.000 0.000 0.500 1
Al1 0.250 0.250 0.750 1
Zn1 0.250 0.250 0.250 1
```

The volume comes out at 24.86 Å³/atom.

=====

Most stable: <P>. Least stable: <Q>.